[1]
Compound: TiOsC3
Source: the Alexandria database
Functional: GGA-PBEsol
Structure: optimized geometry

Lattice parameters (Å, degrees): 3.850 3.850 3.850 90.00 90.00 90.00
Space group Pm-3m (No. 221)
Symmetry-distinct sites (fractional):
Ti 0.000 0.000 0.000
Os 0.500 0.500 0.500
C 0.000 0.000 0.500

Values from the calculation:
As for the formation energy: 2.55 eV/atom.

---

[2]
Compound: TiTlOsC2
Source: the Alexandria database
Functional: GGA-PBEsol
Structure: optimized geometry

Lattice parameters (Å, degrees): 3.940 3.940 5.279 90.00 90.00 90.00
Space group P4/mmm (No. 123)
Symmetry-distinct sites (fractional):
Ti 0.000 0.000 0.000
Tl 0.000 0.000 0.500
Os 0.500 0.500 0.500
C 0.000 0.500 0.000

Values from the calculation:
As for the formation energy: 2.33 eV/atom.

---

[3]
Compound: U2OsC2
Source: the Alexandria database
Functional: GGA-PBEsol
Structure: optimized geometry

Lattice parameters (Å, degrees): 3.410 3.410 12.377 90.00 90.00 90.00
Space group I4/mmm (No. 139)
Symmetry-distinct sites (fractional):
U 0.000 0.000 0.145
Os 0.000 0.000 0.500
C 0.000 0.000 0.328

Values from the calculation:
As for the formation energy: -0.19 eV/atom.

---

[4]
Compound: Os3WC
Source: the Alexandria database
Functional: GGA-PBEsol
Structure: optimized geometry

Lattice parameters (Å, degrees): 4.027 4.027 4.027 90.00 90.00 90.00
Space group Pm-3m (No. 221)
Symmetry-distinct sites (fractional):
Os 0.000 0.000 0.500
W 0.500 0.500 0.500
C 0.000 0.000 0.000

Values from the calculation:
As for the formation energy: 0.53 eV/atom.

---

[5]
Compound: P2C3
Source: the Alexandria database
Functional: GGA-PBEsol
Structure: optimized geometry

Lattice parameters (Å, degrees): 2.8716 2.8716 18.6918 90.00 90.00 120.00
Space group R-3m (No. 166, hexagonal axes)
Symmetry-distinct sites (fractional):
P 0.0000 0.0000 0.0937
C 0.0000 0.0000 0.2802
C 0.0000 0.0000 0.5000

Values from the calculation:
As for the formation energy: 1.34 eV/atom.

---

[6]
Compound: PC4
Source: the Alexandria database
Functional: GGA-PBEsol
Structure: optimized geometry

Lattice parameters (Å, degrees): 5.768 5.768 2.359 90.00 90.00 90.00
Space group I4/mmm (No. 139)
Symmetry-distinct sites (fractional):
P 0.000 0.000 0.000
C 0.000 0.338 0.000

Values from the calculation:
As for the formation energy: 2.25 eV/atom.

---

[7]
Compound: PC2
Source: the Alexandria database
Functional: GGA-PBEsol
Structure: optimized geometry

Lattice parameters (Å, degrees): 2.8006 2.8006 7.3982 90.00 90.00 120.00
Space group P6_3/mmc (No. 194)
Symmetry-distinct sites (fractional):
P 0.3333 0.6667 0.2500
C 0.0000 0.0000 0.0935

Values from the calculation:
The polymorph energy (0 for the lowest one) comes out at 0 meV/atom. As for the formation energy: 1.03 eV/atom.

---

[8]
Compound: PC3
Source: the Alexandria database
Functional: GGA-PBEsol
Structure: optimized geometry

Lattice parameters (Å, degrees): 2.700 2.700 4.176 90.00 90.00 90.00
Space group P-4m2 (No. 115)
Symmetry-distinct sites (fractional):
P 0.000 0.000 0.000
C 0.000 0.500 0.712
C 0.500 0.500 0.500

Values from the calculation:
As for the formation energy: 0.85 eV/atom.

---

[9]
Compound: PC2
Source: the Alexandria database
Functional: GGA-PBEsol
Structure: optimized geometry

Lattice parameters (Å, degrees): 2.8434 2.8434 3.4333 90.00 90.00 120.00
Space group P-3m1 (No. 164)
Symmetry-distinct sites (fractional):
P 0.0000 0.0000 0.0000
C 0.3333 0.6667 0.3029

Values from the calculation:
The polymorph energy (0 for the lowest one) comes out at 730 meV/atom. As for the formation energy: 1.76 eV/atom.

---

[10]
Compound: PC2
Source: the Alexandria database
Functional: GGA-PBEsol
Structure: optimized geometry

Lattice parameters (Å, degrees): 4.8487 4.8487 3.8596 90.00 90.00 120.00
Space group P-31m (No. 162)
Symmetry-distinct sites (fractional):
P 0.0000 0.0000 0.0000
P 0.3333 0.6667 0.5000
C 0.0000 0.3067 0.7105

Values from the calculation:
The polymorph energy (0 for the lowest one) comes out at 550 meV/atom. As for the formation energy: 1.58 eV/atom.

---

[11]
Compound: PPdPtC2
Source: the Alexandria database
Functional: GGA-PBEsol
Structure: optimized geometry

Lattice parameters (Å, degrees): 3.772 3.772 5.407 90.00 90.00 90.00
Space group P4/mmm (No. 123)
Symmetry-distinct sites (fractional):
P 0.000 0.000 0.000
Pd 0.500 0.500 0.000
Pt 0.000 0.000 0.500
C 0.000 0.500 0.500

Values from the calculation:
As for the formation energy: 1.64 eV/atom.

---

[12]
Compound: P2PdCS
Source: the Alexandria database
Functional: GGA-PBEsol
Structure: optimized geometry

Lattice parameters (Å, degrees): 4.509 4.509 4.740 90.00 90.00 90.00
Space group P4/mmm (No. 123)
Symmetry-distinct sites (fractional):
P 0.000 0.500 0.000
Pd 0.000 0.000 0.000
C 0.500 0.500 0.500
S 0.000 0.000 0.500

Values from the calculation:
As for the formation energy (no corrections): 2.06 eV/atom.

---

[13]
Compound: Rb3PC
Source: the Alexandria database
Functional: GGA-PBEsol
Structure: optimized geometry

Lattice parameters (Å, degrees): 6.330 6.330 6.330 90.00 90.00 90.00
Space group Pm-3m (No. 221)
Symmetry-distinct sites (fractional):
Rb 0.000 0.000 0.500
P 0.000 0.000 0.000
C 0.500 0.500 0.500

Values from the calculation:
As for the formation energy: 1.20 eV/atom.

---

[14]
Compound: RePC2
Source: the Alexandria database
Functional: GGA-PBEsol
Structure: optimized geometry

Lattice parameters (Å, degrees): 4.615 4.615 8.039 90.00 90.00 90.00
Space group I-42d (No. 122)
Symmetry-distinct sites (fractional):
Re 0.000 0.000 0.000
P 0.000 0.000 0.500
C 0.200 0.250 0.625

Values from the calculation:
As for the formation energy: 0.61 eV/atom.

---

[15]
Compound: Re2PC
Source: the Alexandria database
Functional: GGA-PBEsol
Structure: optimized geometry

Lattice parameters (Å, degrees): 5.064 5.064 9.277 90.00 90.00 90.00
Space group I-42d (No. 122)
Symmetry-distinct sites (fractional):
Re 0.200 0.250 0.125
P 0.000 0.000 0.500
C 0.000 0.000 0.000

Values from the calculation:
As for the formation energy: 0.61 eV/atom.

---

[16]
Compound: ReP2RuC
Source: the Alexandria database
Functional: GGA-PBEsol
Structure: optimized geometry

Lattice parameters (Å, degrees): 4.052 4.052 3.758 90.00 90.00 90.00
Space group P4/mmm (No. 123)
Symmetry-distinct sites (fractional):
Re 0.000 0.000 0.000
P 0.000 0.500 0.500
Ru 0.500 0.500 0.000
C 0.500 0.500 0.500

Values from the calculation:
As for the formation energy: 1.02 eV/atom.

---

[17]
Compound: PRh3C
Source: the Alexandria database
Functional: GGA-PBEsol
Structure: optimized geometry

Lattice parameters (Å, degrees): 4.279 4.279 4.279 90.00 90.00 90.00
Space group Pm-3m (No. 221)
Symmetry-distinct sites (fractional):
P 0.000 0.000 0.000
Rh 0.000 0.000 0.500
C 0.500 0.500 0.500

Values from the calculation:
As for the formation energy: 1.48 eV/atom.

---

[18]
Compound: P2RhCS
Source: the Alexandria database
Functional: GGA-PBEsol
Structure: optimized geometry

Lattice parameters (Å, degrees): 3.882 3.882 4.023 90.00 90.00 90.00
Space group P4/mmm (No. 123)
Symmetry-distinct sites (fractional):
P 0.000 0.500 0.000
Rh 0.000 0.000 0.500
C 0.500 0.500 0.000
S 0.500 0.500 0.500

Values from the calculation:
As for the formation energy (no corrections): 0.88 eV/atom.

---

[19]
Compound: YPRu2C
Source: the Alexandria database
Functional: GGA-PBEsol
Structure: optimized geometry

Lattice parameters (Å, degrees): 3.739 10.929 6.989 90.00 90.00 90.00
Space group Cmcm (No. 63)
Symmetry-distinct sites (fractional):
Y 0.000 0.044 0.250
P 0.000 0.231 0.750
Ru 0.000 0.334 0.054
C 0.000 0.500 0.000

Values from the calculation:
As for the formation energy: -0.73 eV/atom.

---

[20]
Compound: PCS2
Source: the Alexandria database
Functional: GGA-PBEsol
Structure: optimized geometry

Lattice parameters (Å, degrees): 5.682 5.682 6.874 90.00 90.00 90.00
Space group I-42d (No. 122)
Symmetry-distinct sites (fractional):
P 0.000 0.000 0.000
C 0.000 0.000 0.500
S 0.185 0.750 0.625

Values from the calculation:
As for the formation energy (no corrections): 1.16 eV/atom. The polymorph energy (0 for the lowest one) comes out at 0 meV/atom.

---

[21]
Compound: PCS2
Source: the Alexandria database
Functional: GGA-PBEsol
Structure: optimized geometry

Lattice parameters (Å, degrees): 3.0016 3.0016 21.1890 90.00 90.00 120.00
Space group R-3m (No. 166, hexagonal axes)
Symmetry-distinct sites (fractional):
P 0.0000 0.0000 0.0000
C 0.0000 0.0000 0.5000
S 0.0000 0.0000 0.1093

Values from the calculation:
As for the formation energy (no corrections): 1.22 eV/atom. The polymorph energy (0 for the lowest one) comes out at 67 meV/atom.

---

[22]
Compound: P2CS2
Source: the Alexandria database
Functional: GGA-PBEsol
Structure: optimized geometry

Lattice parameters (Å, degrees): 4.316 4.316 4.457 90.00 90.00 90.00
Space group P4/mmm (No. 123)
Symmetry-distinct sites (fractional):
P 0.000 0.000 0.000
P 0.000 0.000 0.500
C 0.500 0.500 0.000
S 0.000 0.500 0.500

Values from the calculation:
As for the formation energy (no corrections): 1.89 eV/atom.

---

[23]
Compound: SbPCS2
Source: the Alexandria database
Functional: GGA-PBEsol
Structure: optimized geometry

Lattice parameters (Å, degrees): 4.896 4.896 5.122 90.00 90.00 90.00
Space group P4/mmm (No. 123)
Symmetry-distinct sites (fractional):
Sb 0.000 0.000 0.000
P 0.000 0.000 0.500
C 0.500 0.500 0.500
S 0.000 0.500 0.000

Values from the calculation:
As for the formation energy (no corrections): 2.21 eV/atom. The polymorph energy (0 for the lowest one) comes out at 1324 meV/atom.

---

[24]
Compound: SbPCS2
Source: the Alexandria database
Functional: GGA-PBEsol
Structure: optimized geometry

Lattice parameters (Å, degrees): 4.196 4.196 4.146 90.00 90.00 90.00
Space group P4/mmm (No. 123)
Symmetry-distinct sites (fractional):
Sb 0.000 0.000 0.000
P 0.500 0.500 0.000
C 0.500 0.500 0.500
S 0.000 0.500 0.500

Values from the calculation:
As for the formation energy (no corrections): 0.88 eV/atom. The polymorph energy (0 for the lowest one) comes out at 0 meV/atom.

---

[25]
Compound: PCSeS2
Source: the Alexandria database
Functional: GGA-PBEsol
Structure: optimized geometry

Lattice parameters (Å, degrees): 4.644 4.644 4.763 90.00 90.00 90.00
Space group P4/mmm (No. 123)
Symmetry-distinct sites (fractional):
P 0.000 0.000 0.000
C 0.500 0.500 0.000
Se 0.000 0.000 0.500
S 0.000 0.500 0.500

Values from the calculation:
As for the formation energy (no corrections): 2.23 eV/atom. The polymorph energy (0 for the lowest one) comes out at 1103 meV/atom.

---

[26]
Compound: PCSeS2
Source: the Alexandria database
Functional: GGA-PBEsol
Structure: optimized geometry

Lattice parameters (Å, degrees): 4.020 4.020 4.317 90.00 90.00 90.00
Space group P4/mmm (No. 123)
Symmetry-distinct sites (fractional):
P 0.000 0.000 0.000
C 0.000 0.000 0.500
Se 0.500 0.500 0.000
S 0.000 0.500 0.500

Values from the calculation:
As for the formation energy (no corrections): 1.13 eV/atom. The polymorph energy (0 for the lowest one) comes out at 0 meV/atom.

---

[27]
Compound: TcPCS2
Source: the Alexandria database
Functional: GGA-PBEsol
Structure: optimized geometry

Lattice parameters (Å, degrees): 4.470 4.470 4.631 90.00 90.00 90.00
Space group P4/mmm (No. 123)
Symmetry-distinct sites (fractional):
Tc 0.000 0.000 0.000
P 0.000 0.000 0.500
C 0.500 0.500 0.500
S 0.000 0.500 0.000

Values from the calculation:
As for the formation energy (no corrections): 1.67 eV/atom.

---

[28]
Compound: ScSiP2C
Source: the Alexandria database
Functional: GGA-PBEsol
Structure: optimized geometry

Lattice parameters (Å, degrees): 4.789 4.789 5.007 90.00 90.00 90.00
Space group P4/mmm (No. 123)
Symmetry-distinct sites (fractional):
Sc 0.000 0.000 0.000
Si 0.000 0.000 0.500
P 0.000 0.500 0.000
C 0.500 0.500 0.500

Values from the calculation:
As for the formation energy (no corrections): 2.01 eV/atom.

---

no.,total magnetic moment (μB per atom)
1,0.001
2,0.147
3,0.068
4,0.000
5,0.000
6,0.000
7,0.000
8,0.000
9,0.000
10,0.000
11,0.001
12,0.042
13,0.817
14,0.000
15,0.000
16,0.078
17,0.000
18,0.000
19,0.000
20,0.000
21,0.000
22,0.000
23,0.062
24,0.000
25,0.062
26,0.000
27,0.310
28,0.283